Density functional theory data (PBEsol) for crystalline Fe2AsOs at its relaxed geometry.

The value obtained for the formation energy from the elements is 256 meV/atom. For the spin magnetization, the calculation gives 4.5 Bohr magnetons per cell. For the uncorrected energy, the calculation gives -34.2 eV/cell. The crystal system is tetragonal. As for the space-group type: P4/mmm.

Cell and atoms, written as CIF:
```
data_Fe2AsOs
_cell_length_a 3.6340
_cell_length_b 3.6340
_cell_length_c 3.8242
_cell_angle_alpha 90.00
_cell_angle_beta 90.00
_cell_angle_gamma 90.00
_space_group_name_H-M_alt 'P 1'
_space_group_IT_number 1
loop_
_space_group_symop_operation_xyz
'x,y,z'
loop_
_atom_site_label
_atom_site_type_symbol
_atom_site_fract_x
_atom_site_fract_y
_atom_site_fract_z
As1 As 0.0000 0.0000 0.5000
Os1 Os 0.5000 0.5000 0.5000
Fe1 Fe 0.0000 0.5000 0.0000
Fe2 Fe 0.5000 0.0000 0.0000
```

Density functional theory data (PBEsol) for crystalline BeZn2HS at its relaxed geometry.

For the spin magnetization, the calculation gives 0.0 Bohr magnetons per cell. For the uncorrected energy, the calculation gives -12.6 eV/cell. The crystal system is tetragonal. As for the space-group type: P4/mmm.

Cell and atoms, written as CIF:
```
data_BeZn2HS
_cell_length_a 2.9573
_cell_length_b 4.7703
_cell_length_c 4.7703
_cell_angle_alpha 90.00
_cell_angle_beta 90.00
_cell_angle_gamma 90.00
_space_group_name_H-M_alt 'P 1'
_space_group_IT_number 1
loop_
_space_group_symop_operation_xyz
'x,y,z'
loop_
_atom_site_label
_atom_site_type_symbol
_atom_site_fract_x
_atom_site_fract_y
_atom_site_fract_z
Zn1 Zn 0.0000 0.5000 0.0000
Zn2 Zn 0.0000 0.0000 0.5000
Be1 Be 0.5000 0.5000 0.5000
H1 H 0.5000 0.0000 0.0000
S1 S 0.0000 0.0000 0.0000
```

Density functional theory data (PBEsol) for crystalline LiNi2Ru at its relaxed geometry.

The value obtained for the formation energy from the elements is 104 meV/atom. For the spin magnetization, the calculation gives 0.0 Bohr magnetons per cell. For the uncorrected energy, the calculation gives -24.0 eV/cell. The value obtained for the energy above the most stable polymorph in this dataset is 48 meV/atom. The crystal system is orthorhombic. As for the space-group type: Pmmm.

Cell and atoms, written as CIF:
```
data_LiNi2Ru
_cell_length_a 2.4854
_cell_length_b 3.6938
_cell_length_c 4.9360
_cell_angle_alpha 90.00
_cell_angle_beta 90.00
_cell_angle_gamma 90.00
_space_group_name_H-M_alt 'P 1'
_space_group_IT_number 1
loop_
_space_group_symop_operation_xyz
'x,y,z'
loop_
_atom_site_label
_atom_site_type_symbol
_atom_site_fract_x
_atom_site_fract_y
_atom_site_fract_z
Li1 Li 0.5000 0.5000 0.5000
Ru1 Ru 0.5000 0.5000 0.0000
Ni1 Ni 0.0000 0.0000 0.7540
Ni2 Ni 0.0000 0.0000 0.2460
```

Density functional theory data (PBEsol) for crystalline K2MoO4 at its relaxed geometry.

For the spin magnetization, the calculation gives 0.0 Bohr magnetons per cell. For the uncorrected energy, the calculation gives -99.7 eV/cell. The crystal system is monoclinic. As for the space-group type: C2/m.

Cell and atoms, written as CIF:
```
data_K2MoO4
_cell_length_a 6.0557
_cell_length_b 6.8403
_cell_length_c 7.4928
_cell_angle_alpha 112.94
_cell_angle_beta 90.00
_cell_angle_gamma 116.27
_space_group_name_H-M_alt 'P 1'
_space_group_IT_number 1
loop_
_space_group_symop_operation_xyz
'x,y,z'
loop_
_atom_site_label
_atom_site_type_symbol
_atom_site_fract_x
_atom_site_fract_y
_atom_site_fract_z
O1 O 0.6669 0.3338 0.6184
O2 O 0.3802 0.2836 0.0749
O3 O 0.0884 0.1768 0.3617
O4 O 0.0967 0.7164 0.9251
O5 O 0.6198 0.7164 0.9251
O6 O 0.9116 0.8232 0.6383
O7 O 0.9033 0.2836 0.0749
O8 O 0.3331 0.6662 0.3816
K1 K 0.4896 0.9792 0.7646
K2 K 0.8438 0.6877 0.2509
K3 K 0.5104 0.0208 0.2354
K4 K 0.1562 0.3123 0.7491
Mo1 Mo 0.1756 0.3511 0.2256
Mo2 Mo 0.8244 0.6489 0.7744
```

Density functional theory data (PBEsol) for crystalline BaPBr2 at its relaxed geometry.

For the spin magnetization, the calculation gives 3.0 Bohr magnetons per cell. For the uncorrected energy, the calculation gives -14.0 eV/cell. The value obtained for the energy above the most stable polymorph in this dataset is 321 meV/atom. The crystal system is cubic. As for the space-group type: F-43m.

Cell and atoms, written as CIF:
```
data_BaPBr2
_cell_length_a 5.4956
_cell_length_b 5.4956
_cell_length_c 5.4956
_cell_angle_alpha 60.00
_cell_angle_beta 60.00
_cell_angle_gamma 60.00
_space_group_name_H-M_alt 'P 1'
_space_group_IT_number 1
loop_
_space_group_symop_operation_xyz
'x,y,z'
loop_
_atom_site_label
_atom_site_type_symbol
_atom_site_fract_x
_atom_site_fract_y
_atom_site_fract_z
Ba1 Ba 0.5000 0.5000 0.5000
Br1 Br 0.0000 0.0000 0.0000
Br2 Br 0.7500 0.7500 0.7500
P1 P 0.2500 0.2500 0.2500
```

Density functional theory data (PBEsol) for crystalline MnAl2Fe at its relaxed geometry.

The value obtained for the formation energy from the elements is -186 meV/atom. For the spin magnetization, the calculation gives 4.5 Bohr magnetons per cell. For the uncorrected energy, the calculation gives -27.7 eV/cell. The crystal system is tetragonal. As for the space-group type: I-4m2.

Cell and atoms, written as CIF:
```
data_MnAl2Fe
_cell_length_a 3.5869
_cell_length_b 3.5869
_cell_length_c 4.6842
_cell_angle_alpha 112.51
_cell_angle_beta 112.51
_cell_angle_gamma 90.00
_space_group_name_H-M_alt 'P 1'
_space_group_IT_number 1
loop_
_space_group_symop_operation_xyz
'x,y,z'
loop_
_atom_site_label
_atom_site_type_symbol
_atom_site_fract_x
_atom_site_fract_y
_atom_site_fract_z
Mn1 Mn 0.2500 0.7500 0.5000
Al1 Al 0.0000 0.0000 0.0000
Al2 Al 0.7500 0.2500 0.5000
Fe1 Fe 0.5000 0.5000 0.0000
```

Density functional theory data (PBEsol) for crystalline LiTeW4 at its relaxed geometry.

For the spin magnetization, the calculation gives 0.0 Bohr magnetons per cell. For the uncorrected energy, the calculation gives -55.8 eV/cell. The crystal system is cubic. As for the space-group type: F-43m.

Cell and atoms, written as CIF:
```
data_LiTeW4
_cell_length_a 5.3246
_cell_length_b 5.3246
_cell_length_c 5.3246
_cell_angle_alpha 60.00
_cell_angle_beta 60.00
_cell_angle_gamma 60.00
_space_group_name_H-M_alt 'P 1'
_space_group_IT_number 1
loop_
_space_group_symop_operation_xyz
'x,y,z'
loop_
_atom_site_label
_atom_site_type_symbol
_atom_site_fract_x
_atom_site_fract_y
_atom_site_fract_z
W1 W 0.3772 0.3772 0.3772
W2 W 0.8685 0.3772 0.3772
W3 W 0.3772 0.3772 0.8685
W4 W 0.3772 0.8685 0.3772
Te1 Te 0.0000 0.0000 0.0000
Li1 Li 0.7500 0.7500 0.7500
```

Density functional theory data (PBEsol) for crystalline NiHgBr2 at its relaxed geometry.

For the spin magnetization, the calculation gives 0.0 Bohr magnetons per cell. For the uncorrected energy, the calculation gives -10.9 eV/cell. The value obtained for the energy above the most stable polymorph in this dataset is 12 meV/atom. The crystal system is monoclinic. As for the space-group type: P2/m.

Cell and atoms, written as CIF:
```
data_NiHgBr2
_cell_length_a 3.3196
_cell_length_b 3.7372
_cell_length_c 8.3103
_cell_angle_alpha 93.43
_cell_angle_beta 90.00
_cell_angle_gamma 90.00
_space_group_name_H-M_alt 'P 1'
_space_group_IT_number 1
loop_
_space_group_symop_operation_xyz
'x,y,z'
loop_
_atom_site_label
_atom_site_type_symbol
_atom_site_fract_x
_atom_site_fract_y
_atom_site_fract_z
Br1 Br 0.0000 0.4019 0.1820
Br2 Br 0.0000 0.5981 0.8180
Hg1 Hg 0.5000 0.0000 0.5000
Ni1 Ni 0.5000 0.5000 0.0000
```

Please write out number 8 again, unchanged.
Density functional theory data (PBEsol) for crystalline NiHgBr2 at its relaxed geometry.

For the spin magnetization, the calculation gives 0.0 Bohr magnetons per cell. For the uncorrected energy, the calculation gives -10.9 eV/cell. The value obtained for the energy above the most stable polymorph in this dataset is 12 meV/atom. The crystal system is monoclinic. As for the space-group type: P2/m.

Cell and atoms, written as CIF:
```
data_NiHgBr2
_cell_length_a 3.3196
_cell_length_b 3.7372
_cell_length_c 8.3103
_cell_angle_alpha 93.43
_cell_angle_beta 90.00
_cell_angle_gamma 90.00
_space_group_name_H-M_alt 'P 1'
_space_group_IT_number 1
loop_
_space_group_symop_operation_xyz
'x,y,z'
loop_
_atom_site_label
_atom_site_type_symbol
_atom_site_fract_x
_atom_site_fract_y
_atom_site_fract_z
Br1 Br 0.0000 0.4019 0.1820
Br2 Br 0.0000 0.5981 0.8180
Hg1 Hg 0.5000 0.0000 0.5000
Ni1 Ni 0.5000 0.5000 0.0000
```